(1)
DFT (PBE-GGA) results for a relaxed structure of Pr2AlIn3.

a = 7.7055 Å, b = 9.7433 Å, c = 16.9089 Å
α = 90.00°, β = 90.00°, γ = 90.00°
Last column: nearest neighbours and their distance in Å.
Space group Fmmm (No. 69)
Inequivalent atoms, fractional coordinates:
Pr  0.2480  0.0000  0.0000 x8  10 In 3.39-3.46, 2 Al 3.42
Pr  0.2500  0.2500  0.2500 x8  8 In 3.39, 4 Al 3.41
Al  0.0000  0.0000  0.3334 x8  3 In 2.75-2.76
In  0.0000  0.0000  0.1702 x8  1 Al 2.76, 2 In 2.88
In  0.0000  0.2440  0.4148 x16  1 Al 2.75, 2 In 2.88

- Energy of formation: -0.459 eV/atom
- E above lowest polymorph: 5.1 meV per atom

---

(2)
DFT (PBE-GGA) results for a relaxed structure of LaPSe4.

a = 8.1052 Å, b = 8.1052 Å, c = 8.1052 Å
α = 90.00°, β = 90.00°, γ = 90.00°
Last column: nearest neighbours and their distance in Å.
Space group F-43m (No. 216)
Inequivalent atoms, fractional coordinates:
La  0.0000  0.0000  0.0000 x4  12 Se 3.36, 4 P 3.51
P  0.2500  0.2500  0.7500 x4  12 Se 3.36, 4 La 3.51
Se  0.1246  0.1246  0.3754 x16  6 Se 2.86-2.87

- Energy relative to the elements, uncorrected: -0.054 eV/atom

---

(3)
DFT (PBE-GGA) results for a relaxed structure of AcSnO.

a = 4.2152 Å, b = 4.2165 Å, c = 8.7383 Å
α = 90.00°, β = 90.11°, γ = 90.00°
Last column: nearest neighbours and their distance in Å.
Space group P2_1/m (No. 11)
Inequivalent atoms, fractional coordinates:
Ac  0.2494  0.2500  0.3536 x2  4 O 2.47
Sn  0.2504  0.2500  0.9332 x2  4 Sn 3.20
O  0.2500  0.7500  0.5000 x2  4 Ac 2.47

- Energy relative to the elements, uncorrected: -2.132 eV/atom
- E above lowest polymorph: 0.0 meV per atom